[1]
First-principles (PBE) data for a relaxed KLi2La2 crystal, as listed in the Alexandria database.

Calculated formation energy: 0.276 eV per atom
Excess energy over the best structure of this formula in the dataset: 0.0 meV per atom

Unit cell a=9.8731 b=9.8731 c=3.6032 alpha=90.00 beta=90.00 gamma=90.00
Sites, in units of the cell vectors:
1 K 0.0000 0.0000 0.0000
2 K 0.5000 0.5000 0.0000
3 Li 0.1772 0.3228 0.0000
4 Li 0.3228 0.8228 0.0000
5 Li 0.6772 0.1772 0.0000
6 Li 0.8228 0.6772 0.0000
7 La 0.1076 0.6076 0.5000
8 La 0.3924 0.1076 0.5000
9 La 0.6076 0.8924 0.5000
10 La 0.8924 0.3924 0.5000

=====

[2]
First-principles (PBE) data for a relaxed KLi2La2 crystal, as listed in the Alexandria database.

Calculated formation energy: 0.314 eV per atom
Excess energy over the best structure of this formula in the dataset: 38.2 meV per atom

Unit cell a=8.9111 b=8.9111 c=8.9111 alpha=148.47 beta=148.47 gamma=45.20
Sites, in units of the cell vectors:
1 K 0.0000 0.0000 0.0000
2 Li 0.4021 0.4021 0.0000
3 Li 0.5979 0.5979 0.0000
4 La 0.2500 0.7500 0.5000
5 La 0.7500 0.2500 0.5000

=====

[3]
First-principles (PBE) data for a relaxed KLi3La crystal, as listed in the Alexandria database.

Calculated formation energy: 0.633 eV per atom
Excess energy over the best structure of this formula in the dataset: 0.0 meV per atom

Unit cell a=5.4571 b=5.4571 c=5.4571 alpha=90.00 beta=90.00 gamma=90.00
Sites, in units of the cell vectors:
1 K 0.0000 0.0000 0.0000
2 Li 0.0000 0.0000 0.5000
3 Li 0.0000 0.5000 0.0000
4 Li 0.5000 0.0000 0.0000
5 La 0.5000 0.5000 0.5000

=====

[4]
First-principles (PBE) data for a relaxed KLiLa crystal, as listed in the Alexandria database.

Calculated formation energy: 0.264 eV per atom
Excess energy over the best structure of this formula in the dataset: 13.8 meV per atom

Unit cell a=19.4103 b=3.7273 c=3.7273 alpha=60.39 beta=90.00 gamma=90.00
Sites, in units of the cell vectors:
1 K 0.1678 0.0000 0.0000
2 K 0.8322 0.0000 0.0000
3 Li 0.0000 0.6726 0.6726
4 Li 0.5000 0.9726 0.9726
5 La 0.3588 0.6364 0.6364
6 La 0.6412 0.6364 0.6364

=====

[5]
First-principles (PBE) data for a relaxed KLiLa crystal, as listed in the Alexandria database.

Calculated formation energy: 0.283 eV per atom
Excess energy over the best structure of this formula in the dataset: 32.2 meV per atom

Unit cell a=9.3470 b=9.3470 c=9.3470 alpha=157.64 beta=157.64 gamma=31.82
Sites, in units of the cell vectors:
1 K 0.0000 0.0000 0.0000
2 Li 0.3338 0.3338 0.0000
3 La 0.7026 0.7026 0.0000

=====

[6]
First-principles (PBE) data for a relaxed KLiLa2Os crystal, as listed in the Alexandria database.

Calculated formation energy: 0.183 eV per atom

Unit cell a=5.5043 b=5.5043 c=5.7962 alpha=90.00 beta=90.00 gamma=90.00
Sites, in units of the cell vectors:
1 K 0.0000 0.0000 0.0000
2 Li 0.5000 0.5000 0.0000
3 La 0.0000 0.5000 0.5000
4 La 0.5000 0.0000 0.5000
5 Os 0.5000 0.5000 0.5000

=====

[7]
First-principles (PBE) data for a relaxed KLi2LaPt crystal, as listed in the Alexandria database.

Calculated formation energy: -0.199 eV per atom

Unit cell a=5.3796 b=5.3796 c=5.3829 alpha=90.00 beta=90.00 gamma=90.00
Sites, in units of the cell vectors:
1 K 0.0000 0.0000 0.0000
2 Li 0.0000 0.5000 0.5000
3 Li 0.5000 0.0000 0.5000
4 La 0.5000 0.5000 0.0000
5 Pt 0.5000 0.5000 0.5000

=====

[8]
First-principles (PBE) data for a relaxed KLi2LaRh crystal, as listed in the Alexandria database.

Calculated formation energy: -0.012 eV per atom

Unit cell a=5.4784 b=5.4784 c=5.1175 alpha=90.00 beta=90.00 gamma=90.00
Sites, in units of the cell vectors:
1 K 0.0000 0.0000 0.0000
2 Li 0.0000 0.5000 0.5000
3 Li 0.5000 0.0000 0.5000
4 La 0.5000 0.5000 0.0000
5 Rh 0.5000 0.5000 0.5000

=====

[9]
First-principles (PBE) data for a relaxed KLiLa2Se4 crystal, as listed in the Alexandria database.

Uncorrected formation energy: -1.74 eV per atom

Unit cell a=8.8040 b=8.8040 c=8.8040 alpha=120.97 beta=119.42 gamma=89.67
Sites, in units of the cell vectors:
1 K 0.5000 0.0000 0.0000
2 K 0.5000 0.5000 0.5000
3 Li 0.0000 0.0000 0.0000
4 Li 0.5000 0.0000 0.5000
5 La 0.0000 0.0000 0.5000
6 La 0.0000 0.5000 0.0000
7 La 0.0000 0.5000 0.5000
8 La 0.5000 0.5000 0.0000
9 Se 0.2250 0.7434 0.4816
10 Se 0.2381 0.2566 0.9816
11 Se 0.2414 0.2476 0.5062
12 Se 0.2414 0.7353 0.9938
13 Se 0.7586 0.2647 0.0062
14 Se 0.7586 0.7524 0.4938
15 Se 0.7619 0.7434 0.0184
16 Se 0.7750 0.2566 0.5184

=====

[10]
First-principles (PBE) data for a relaxed KLiLaTl crystal, as listed in the Alexandria database.

Calculated formation energy: -0.007 eV per atom

Unit cell a=5.5016 b=5.5016 c=5.5016 alpha=60.00 beta=60.00 gamma=60.00
Sites, in units of the cell vectors:
1 K 0.0000 0.0000 0.0000
2 Li 0.2500 0.2500 0.2500
3 La 0.7500 0.7500 0.7500
4 Tl 0.5000 0.5000 0.5000

=====

[11]
First-principles (PBE) data for a relaxed KLaMg crystal, as listed in the Alexandria database.

Calculated formation energy: 0.196 eV per atom

Unit cell a=9.1595 b=9.1595 c=9.1595 alpha=156.68 beta=156.68 gamma=33.22
Sites, in units of the cell vectors:
1 K 0.0000 0.0000 0.0000
2 La 0.2906 0.2906 0.0000
3 Mg 0.6677 0.6677 0.0000

=====

[12]
First-principles (PBE) data for a relaxed KLaMg6 crystal, as listed in the Alexandria database.

Calculated formation energy: 0.136 eV per atom
Excess energy over the best structure of this formula in the dataset: 61.3 meV per atom

Unit cell a=5.1638 b=7.0953 c=7.0953 alpha=67.48 beta=90.00 gamma=90.00
Sites, in units of the cell vectors:
1 K 0.0000 0.0000 0.0000
2 La 0.0000 0.4136 0.4136
3 Mg 0.0000 0.5162 0.8992
4 Mg 0.0000 0.8992 0.5162
5 Mg 0.5000 0.0725 0.6540
6 Mg 0.5000 0.2027 0.2027
7 Mg 0.5000 0.6077 0.6077
8 Mg 0.5000 0.6540 0.0725

=====

[13]
First-principles (PBE) data for a relaxed KLaMg2 crystal, as listed in the Alexandria database.

Calculated formation energy: 0.175 eV per atom
Excess energy over the best structure of this formula in the dataset: 70.6 meV per atom

Unit cell a=7.3309 b=7.3309 c=7.3309 alpha=152.65 beta=130.03 gamma=57.90
Sites, in units of the cell vectors:
1 K 0.0000 0.0000 0.0000
2 La 0.2977 0.7977 0.5000
3 Mg 0.5387 0.5387 0.0000
4 Mg 0.7366 0.2366 0.5000

=====

[14]
First-principles (PBE) data for a relaxed K2LaMg crystal, as listed in the Alexandria database.

Calculated formation energy: 0.397 eV per atom

Unit cell a=7.6461 b=7.6461 c=7.6461 alpha=141.15 beta=141.15 gamma=56.10
Sites, in units of the cell vectors:
1 K 0.2500 0.7500 0.5000
2 K 0.7500 0.2500 0.5000
3 La 0.0000 0.0000 0.0000
4 Mg 0.5000 0.5000 0.0000

=====

[15]
First-principles (PBE) data for a relaxed K2LaMg crystal, as listed in the Alexandria database.

Calculated formation energy: 0.403 eV per atom

Unit cell a=3.5274 b=6.5622 c=7.5051 alpha=90.00 beta=90.00 gamma=90.00
Sites, in units of the cell vectors:
1 K 0.0000 0.0000 0.2370
2 K 0.0000 0.0000 0.7630
3 La 0.5000 0.5000 0.5000
4 Mg 0.5000 0.5000 0.0000

=====

[16]
First-principles (PBE) data for a relaxed KLaMg crystal, as listed in the Alexandria database.

Calculated formation energy: 0.579 eV per atom

Unit cell a=5.7658 b=5.7658 c=5.7658 alpha=60.00 beta=60.00 gamma=60.00
Sites, in units of the cell vectors:
1 K 0.0000 0.0000 0.0000
2 La 0.5000 0.5000 0.5000
3 Mg 0.7500 0.7500 0.7500

=====

[17]
First-principles (PBE) data for a relaxed K2LaMg crystal, as listed in the Alexandria database.

Calculated formation energy: 0.338 eV per atom

Unit cell a=3.7404 b=3.7404 c=13.6717 alpha=90.00 beta=90.00 gamma=115.23
Sites, in units of the cell vectors:
1 K 0.0000 0.0000 0.2326
2 K 0.0000 0.0000 0.7674
3 La 0.5000 0.5000 0.5000
4 Mg 0.5000 0.5000 0.0000

=====

[18]
First-principles (PBE) data for a relaxed K2LaMg crystal, as listed in the Alexandria database.

Calculated formation energy: 0.175 eV per atom

Unit cell a=3.9770 b=3.9771 c=12.0018 alpha=90.00 beta=90.18 gamma=90.00
Sites, in units of the cell vectors:
1 K 0.0000 0.0000 0.0000
2 K 0.4913 0.5000 0.3345
3 La 0.0002 0.0000 0.6234
4 Mg 0.5020 0.5000 0.7801

=====

[19]
First-principles (PBE) data for a relaxed K2LaMg crystal, as listed in the Alexandria database.

Calculated formation energy: 0.388 eV per atom

Unit cell a=5.1050 b=5.1050 c=6.7050 alpha=90.00 beta=90.00 gamma=90.00
Sites, in units of the cell vectors:
1 K 0.0000 0.5000 0.0000
2 K 0.5000 0.0000 0.0000
3 La 0.0000 0.0000 0.5000
4 Mg 0.5000 0.5000 0.5000

=====

[20]
First-principles (PBE) data for a relaxed K2LaMg crystal, as listed in the Alexandria database.

Calculated formation energy: 0.355 eV per atom

Unit cell a=8.0002 b=8.0002 c=3.6864 alpha=102.43 beta=102.43 gamma=124.93
Sites, in units of the cell vectors:
1 K 0.0000 0.5000 0.0000
2 K 0.5000 0.0000 0.0000
3 La 0.0000 0.0000 0.5000
4 Mg 0.5000 0.5000 0.5000

=====

[21]
First-principles (PBE) data for a relaxed K2LaMg crystal, as listed in the Alexandria database.

Calculated formation energy: 0.338 eV per atom

Unit cell a=6.3962 b=6.3962 c=8.1238 alpha=95.34 beta=95.34 gamma=33.15
Sites, in units of the cell vectors:
1 K 0.0000 0.0000 0.0000
2 K 0.2378 0.2378 0.7289
3 La 0.4738 0.4738 0.4408
4 Mg 0.7451 0.7451 0.2924

=====

[22]
First-principles (PBE) data for a relaxed KLa3Mg crystal, as listed in the Alexandria database.

Calculated formation energy: 0.543 eV per atom
Excess energy over the best structure of this formula in the dataset: 0.0 meV per atom

Unit cell a=6.1365 b=6.1365 c=6.1365 alpha=90.00 beta=90.00 gamma=90.00
Sites, in units of the cell vectors:
1 K 0.0000 0.0000 0.0000
2 La 0.0000 0.5000 0.5000
3 La 0.5000 0.0000 0.5000
4 La 0.5000 0.5000 0.0000
5 Mg 0.5000 0.5000 0.5000

=====

[23]
First-principles (PBE) data for a relaxed KLaMg2 crystal, as listed in the Alexandria database.

Calculated formation energy: 0.170 eV per atom
Excess energy over the best structure of this formula in the dataset: 65.6 meV per atom

Unit cell a=6.9376 b=6.9376 c=6.2926 alpha=108.26 beta=108.26 gamma=28.51
Sites, in units of the cell vectors:
1 K 0.0000 0.0000 0.0000
2 La 0.8004 0.8004 0.3643
3 Mg 0.2384 0.2384 0.8224
4 Mg 0.5485 0.5485 0.5307

=====

[24]
First-principles (PBE) data for a relaxed K2LaMg crystal, as listed in the Alexandria database.

Calculated formation energy: 0.436 eV per atom

Unit cell a=6.2240 b=6.2240 c=6.2240 alpha=120.15 beta=120.15 gamma=89.74
Sites, in units of the cell vectors:
1 K 0.0000 0.0000 0.0000
2 K 0.7500 0.2500 0.5000
3 La 0.2500 0.7500 0.5000
4 Mg 0.5000 0.5000 0.0000

=====

[25]
First-principles (PBE) data for a relaxed KLaMg crystal, as listed in the Alexandria database.

Calculated formation energy: 0.325 eV per atom

Unit cell a=6.0874 b=6.0874 c=3.4057 alpha=90.00 beta=90.00 gamma=120.00
Sites, in units of the cell vectors:
1 K 0.0000 0.0000 0.0000
2 La 0.3333 0.6667 0.3305
3 Mg 0.6667 0.3333 0.7669

=====

[26]
First-principles (PBE) data for a relaxed K2LaMg crystal, as listed in the Alexandria database.

Calculated formation energy: 0.364 eV per atom

Unit cell a=8.2325 b=8.2325 c=8.2325 alpha=154.30 beta=128.36 gamma=58.56
Sites, in units of the cell vectors:
1 K 0.0000 0.0000 0.0000
2 K 0.7171 0.2171 0.5000
3 La 0.2960 0.7960 0.5000
4 Mg 0.4867 0.4867 0.0000

=====

[27]
First-principles (PBE) data for a relaxed K2LaMg crystal, as listed in the Alexandria database.

Calculated formation energy: 0.417 eV per atom

Unit cell a=7.6217 b=7.6217 c=3.5256 alpha=90.00 beta=90.00 gamma=120.85
Sites, in units of the cell vectors:
1 K 0.0000 0.5000 0.0000
2 K 0.5000 0.0000 0.0000
3 La 0.0000 0.0000 0.5000
4 Mg 0.5000 0.5000 0.5000

=====

[28]
First-principles (PBE) data for a relaxed K2LaMg crystal, as listed in the Alexandria database.

Calculated formation energy: 0.324 eV per atom

Unit cell a=14.2073 b=14.2073 c=14.2073 alpha=15.35 beta=15.35 gamma=15.35
Sites, in units of the cell vectors:
1 K 0.2449 0.2449 0.2449
2 K 0.7551 0.7551 0.7551
3 La 0.0000 0.0000 0.0000
4 Mg 0.5000 0.5000 0.5000

=====

[29]
First-principles (PBE) data for a relaxed KLaMg2 crystal, as listed in the Alexandria database.

Calculated formation energy: 0.255 eV per atom
Excess energy over the best structure of this formula in the dataset: 150.4 meV per atom

Unit cell a=5.8836 b=5.8836 c=8.0539 alpha=94.54 beta=94.54 gamma=33.15
Sites, in units of the cell vectors:
1 K 0.0000 0.0000 0.0000
2 La 0.5000 0.5000 0.5000
3 Mg 0.2415 0.2415 0.6861
4 Mg 0.7585 0.7585 0.3139